No. 1
A plane-wave DFT calculation with SCAN was carried out for Na3NiB2O6 at its PBEsol-relaxed geometry.

Values from the calculation:
The energy relative to the elements, uncorrected is -2.078 eV/atom.

Unit cell a=5.4457 b=9.3010 c=10.8609 alpha=90.00 beta=115.35 gamma=90.00
Last column: nearest neighbours and their distance in Å.
Space group P2_1/c (No. 14)
Unique sites:
Na 0.0253 0.0577 0.3777  3 O 2.18-2.32
Na 0.0463 0.1363 0.8715  5 O 2.20-2.29
Na 0.4563 0.5358 0.6276  5 O 2.29-2.44
Ni 0.4793 0.7129 0.8790  4 O 1.89-1.91
B 0.0369 0.7021 0.3843  3 O 1.37-1.39
B 0.4588 0.6421 0.1340  3 O 1.37-1.42
O 0.1281 0.6660 0.8603  1 B 1.39
O 0.1978 0.5857 0.3931  1 B 1.37
O 0.1992 0.1860 0.0983  1 B 1.39
O 0.3410 0.7441 0.1897  1 B 1.42
O 0.3888 0.2013 0.4291  1 B 1.40
O 0.4053 0.0004 0.6425  1 B 1.37


No. 2
A plane-wave DFT calculation with SCAN was carried out for Na2Ni2B12O21 at its PBEsol-relaxed geometry.

Values from the calculation:
The energy relative to the elements, uncorrected is -2.482 eV/atom.

Unit cell a=22.8905 b=4.4290 c=17.0526 alpha=90.00 beta=123.95 gamma=90.00
Last column: nearest neighbours and their distance in Å.
Space group C2/c (No. 15)
Unique sites:
Na 0.1424 0.0506 0.4903  4 O 2.32-2.58
Ni 0.0475 0.0053 0.1060  5 O 1.97-2.19
B 0.0136 0.4631 0.8273  4 O 1.42-1.55
B 0.0534 0.4990 0.4931  3 O 1.35-1.40
B 0.0874 0.1509 0.7986  3 O 1.36-1.39
B 0.1597 0.4758 0.1559  4 O 1.44-1.52
B 0.1655 0.2462 0.2953  3 O 1.37-1.38
B 0.2474 0.3704 0.8192  3 O 1.36-1.40
O 0.0000 0.3547 0.2500  2 B 1.42
O 0.0257 0.3503 0.4067  2 B 1.40-1.47
O 0.0365 0.2122 0.9961  1 B 1.35
O 0.0483 0.2408 0.7053  1 B 1.38
O 0.0768 0.2720 0.8631  2 B 1.36-1.48
O 0.1028 0.3470 0.5761  2 B 1.40-1.48
O 0.1318 0.2690 0.1988  2 B 1.38-1.52
O 0.1435 0.0494 0.3359  2 B 1.37-1.39
O 0.1923 0.2854 0.1192  2 B 1.37-1.48
O 0.2080 0.3094 0.7250  2 B 1.36-1.44
O 0.2230 0.4240 0.3572  2 B 1.38-1.40


No. 3
A plane-wave DFT calculation with SCAN was carried out for Na3NiBPO7 at its PBEsol-relaxed geometry.

Values from the calculation:
The energy relative to the elements, uncorrected is -2.200 eV/atom.

Unit cell a=5.0566 b=6.6985 c=8.6987 alpha=90.00 beta=92.28 gamma=90.00
Last column: nearest neighbours and their distance in Å.
Space group P2_1/m (No. 11)
Unique sites:
Na 0.2270 0.2500 0.0794  4 O 2.32-2.41
Na 0.2551 0.5096 0.7324  6 O 2.30-2.54
Ni 0.2177 0.7500 0.3382  4 O 1.88-1.93
B 0.2751 0.7500 0.0730  3 O 1.33-1.40
P 0.2778 0.2500 0.4206  4 O 1.54-1.57
O 0.0342 0.7500 0.1460  1 B 1.40
O 0.1205 0.2500 0.5684  1 P 1.54
O 0.2152 0.0667 0.3170  1 P 1.55
O 0.3046 0.7500 0.9213  1 B 1.33
O 0.4196 0.7500 0.5317  1 P 1.57
O 0.4750 0.7500 0.1883  1 B 1.40


No. 4
A plane-wave DFT calculation with SCAN was carried out for NaNiBPd2 at its PBEsol-relaxed geometry.

Values from the calculation:
The calculated formation energy comes out at 0.333 eV per atom.

Unit cell a=4.0117 b=4.0117 c=4.5223 alpha=90.00 beta=90.00 gamma=90.00
Last column: nearest neighbours and their distance in Å.
Space group P4/mmm (No. 123)
Unique sites:
Na 0.0000 0.0000 0.0000  2 B 2.26
Ni 0.5000 0.5000 0.0000  4 Na 2.84, 8 Pd 3.02
B 0.0000 0.0000 0.5000  4 Pd 2.01
Pd 0.0000 0.5000 0.5000  2 B 2.01


No. 5
A plane-wave DFT calculation with SCAN was carried out for Na3B7O12 at its PBEsol-relaxed geometry.

Values from the calculation:
The energy relative to the elements, uncorrected is -2.584 eV/atom.

Unit cell a=6.6800 b=8.2774 c=8.9063 alpha=94.89 beta=100.63 gamma=99.47
Last column: nearest neighbours and their distance in Å.
Space group P-1 (No. 2)
Unique sites:
Na 0.0518 0.0819 0.2896  4 O 2.30-2.36
Na 0.2625 0.2253 0.9758  5 O 2.23-2.50
Na 0.4317 0.2680 0.6627  5 O 2.27-2.50
B 0.1003 0.7326 0.2500  4 O 1.46-1.49
B 0.1590 0.4500 0.2917  3 O 1.36-1.40
B 0.1869 0.4946 0.7247  3 O 1.36-1.39
B 0.2735 0.8730 0.0511  3 O 1.38-1.39
B 0.2894 0.8472 0.5291  3 O 1.37-1.38
B 0.3999 0.9519 0.8097  4 O 1.44-1.51
B 0.4887 0.3052 0.3031  4 O 1.45-1.49
O 0.0449 0.5967 0.6873  2 B 1.39-1.40
O 0.1009 0.8172 0.1100  2 B 1.38-1.48
O 0.1223 0.3363 0.7568  2 B 1.38-1.49
O 0.1727 0.8572 0.3869  2 B 1.38-1.48
O 0.2216 0.6008 0.2480  2 B 1.36-1.46
O 0.2380 0.9230 0.9066  2 B 1.38-1.51
O 0.2747 0.3296 0.3097  2 B 1.36-1.49
O 0.2815 0.9594 0.6515  2 B 1.38-1.49
O 0.3931 0.5398 0.7311  2 B 1.36-1.48
O 0.4170 0.7336 0.5456  2 B 1.37-1.46
O 0.4683 0.1690 0.1847  2 B 1.44-1.45
O 0.4716 0.8805 0.1365  2 B 1.39-1.49


No. 6
A plane-wave DFT calculation with SCAN was carried out for Na5B2P3O13 at its PBEsol-relaxed geometry.

Values from the calculation:
The energy relative to the elements, uncorrected is -2.529 eV/atom.

Unit cell a=6.7293 b=11.6015 c=7.6881 alpha=90.00 beta=115.01 gamma=90.00
Last column: nearest neighbours and their distance in Å.
Space group P2_1 (No. 4)
Unique sites:
Na 0.0231 0.0000 0.4807  5 O 2.39-2.53
Na 0.1205 0.2309 0.2778  6 O 2.29-2.51
Na 0.1454 0.7209 0.2691  6 O 2.30-2.46
Na 0.4017 0.5938 0.9587  2 O 2.20-2.42
Na 0.4488 0.4983 0.4865  5 O 2.33-2.56
B 0.2895 0.3153 0.9998  4 O 1.43-1.51
B 0.3666 0.8653 0.0070  4 O 1.44-1.52
P 0.9999 0.4806 0.0075  4 O 1.51-1.60
P 0.3413 0.7680 0.6783  4 O 1.51-1.60
P 0.3434 0.2513 0.6914  4 O 1.51-1.60
O 0.0151 0.5540 0.8505  1 P 1.52
O 0.0773 0.3516 0.9936  1 B 1.47, 1 P 1.60
O 0.1276 0.5258 0.2089  1 P 1.51
O 0.2338 0.2309 0.8371  1 B 1.51, 1 P 1.60
O 0.2351 0.8044 0.8211  1 B 1.50, 1 P 1.60
O 0.2422 0.3531 0.5603  1 P 1.51
O 0.2498 0.6504 0.5963  1 P 1.52
O 0.2504 0.9631 0.0380  1 B 1.45, 1 P 1.58
O 0.3068 0.8605 0.5302  1 P 1.51
O 0.3350 0.1389 0.5884  1 P 1.51
O 0.4063 0.2480 0.1825  1 B 1.51, 1 P 1.60
O 0.4071 0.7752 0.1617  1 B 1.52, 1 P 1.60
O 0.4283 0.4050 0.9879  2 B 1.43-1.44